Material: Rb2TaCoF6
Method: DFT, GGA+U
State: relaxed Values from VASP.

Quantum ESPRESSO input file:
```
&SYSTEM
  ibrav = 0, nat = 10, ntyp = 4
/
ATOMIC_SPECIES
Rb 85.47 Rb.upf
Ta 180.95 Ta.upf
Co 58.93 Co.upf
F 19.00 F.upf
CELL_PARAMETERS angstrom
-3.078 3.078 4.347
3.078 -3.078 4.347
3.078 3.078 -4.347
ATOMIC_POSITIONS crystal
Rb 0.250 0.750 0.500
Rb 0.750 0.250 0.500
Ta 0.000 0.000 0.000
Co 0.500 0.500 0.000
F 0.241 0.241 0.000
F 0.242 0.242 0.484
F 0.242 0.758 0.000
F 0.758 0.242 0.000
F 0.758 0.758 0.516
F 0.759 0.759 0.000
```

Properties
SG	I4/mmm (139)
uncorrected energy	-53.00	eV/cell